Here is a relaxed structure of MnCr2ICl from Alexandria. Energies are from PBE-GGA.

Geometry as CIF:
```
data_MnCr2ICl
_chemical_formula_sum 'Mn1 Cr2 I1 Cl1'
_symmetry_space_group_name_H-M 'P 1'
_symmetry_Int_Tables_number 1
_cell_length_a 4.604
_cell_length_b 6.888
_cell_length_c 4.604
_cell_angle_alpha 90.00
_cell_angle_beta 90.00
_cell_angle_gamma 90.00
loop_
_symmetry_equiv_pos_as_xyz
'x,y,z'
loop_
_atom_site_label
_atom_site_type_symbol
_atom_site_fract_x
_atom_site_fract_y
_atom_site_fract_z
Cl1 Cl 0.000 0.000 0.000
I1 I 0.000 0.500 0.000
Cr1 Cr 0.500 0.000 0.000
Cr2 Cr 0.000 0.000 0.500
Mn1 Mn 0.500 0.500 0.500
```

Output
The value obtained for the formation energy without anion corrections is 0.903 eV/atom. The calculation puts the density of states at the Fermi level at 3.38 states/eV/cell. Its theoretical density is 3.65 g/cm3.



Here is a relaxed structure of YCdSn2As from Alexandria. Energies are from PBE-GGA.

Geometry as CIF:
```
data_YCdSn2As
_chemical_formula_sum 'Y1 Cd1 Sn2 As1'
_symmetry_space_group_name_H-M 'P 1'
_symmetry_Int_Tables_number 1
_cell_length_a 5.472
_cell_length_b 5.045
_cell_length_c 5.472
_cell_angle_alpha 90.00
_cell_angle_beta 90.00
_cell_angle_gamma 90.00
loop_
_symmetry_equiv_pos_as_xyz
'x,y,z'
loop_
_atom_site_label
_atom_site_type_symbol
_atom_site_fract_x
_atom_site_fract_y
_atom_site_fract_z
Sn1 Sn 0.000 0.000 0.500
Sn2 Sn 0.500 0.000 0.000
As1 As 0.000 0.000 0.000
Cd1 Cd 0.000 0.500 0.000
Y1 Y 0.500 0.500 0.500
```

Output
The value obtained for the formation energy from the elements is 0.244 eV per atom. The calculation puts the density of states at the Fermi level at 3.66 states/eV/cell. Its theoretical density is 5.65 g/cm3.



Copy entry 1 word for word.
Here is a relaxed structure of MnCr2ICl from Alexandria. Energies are from PBE-GGA.

Geometry as CIF:
```
data_MnCr2ICl
_chemical_formula_sum 'Mn1 Cr2 I1 Cl1'
_symmetry_space_group_name_H-M 'P 1'
_symmetry_Int_Tables_number 1
_cell_length_a 4.604
_cell_length_b 6.888
_cell_length_c 4.604
_cell_angle_alpha 90.00
_cell_angle_beta 90.00
_cell_angle_gamma 90.00
loop_
_symmetry_equiv_pos_as_xyz
'x,y,z'
loop_
_atom_site_label
_atom_site_type_symbol
_atom_site_fract_x
_atom_site_fract_y
_atom_site_fract_z
Cl1 Cl 0.000 0.000 0.000
I1 I 0.000 0.500 0.000
Cr1 Cr 0.500 0.000 0.000
Cr2 Cr 0.000 0.000 0.500
Mn1 Mn 0.500 0.500 0.500
```

Output
The value obtained for the formation energy without anion corrections is 0.903 eV/atom. The calculation puts the density of states at the Fermi level at 3.38 states/eV/cell. Its theoretical density is 3.65 g/cm3.



Repeat the first record exactly.
Here is a relaxed structure of MnCr2ICl from Alexandria. Energies are from PBE-GGA.

Geometry as CIF:
```
data_MnCr2ICl
_chemical_formula_sum 'Mn1 Cr2 I1 Cl1'
_symmetry_space_group_name_H-M 'P 1'
_symmetry_Int_Tables_number 1
_cell_length_a 4.604
_cell_length_b 6.888
_cell_length_c 4.604
_cell_angle_alpha 90.00
_cell_angle_beta 90.00
_cell_angle_gamma 90.00
loop_
_symmetry_equiv_pos_as_xyz
'x,y,z'
loop_
_atom_site_label
_atom_site_type_symbol
_atom_site_fract_x
_atom_site_fract_y
_atom_site_fract_z
Cl1 Cl 0.000 0.000 0.000
I1 I 0.000 0.500 0.000
Cr1 Cr 0.500 0.000 0.000
Cr2 Cr 0.000 0.000 0.500
Mn1 Mn 0.500 0.500 0.500
```

Output
The value obtained for the formation energy without anion corrections is 0.903 eV/atom. The calculation puts the density of states at the Fermi level at 3.38 states/eV/cell. Its theoretical density is 3.65 g/cm3.